Density functional theory data (GGA-PBE) for crystalline Pm3SbPb at its relaxed geometry.

Structure (CIF):
```
data_Pm3SbPb
_chemical_formula_sum 'Pm6 Sb2 Pb2'
_cell_length_a 4.673
_cell_length_b 9.006
_cell_length_c 10.449
_cell_angle_alpha 105.84
_cell_angle_beta 90.21
_cell_angle_gamma 104.90
_symmetry_space_group_name_H-M 'P -1'
_symmetry_Int_Tables_number 2
loop_
_symmetry_equiv_pos_as_xyz
'x,y,z'
'-x,-y,-z'
loop_
_atom_site_label
_atom_site_type_symbol
_atom_site_fract_x
_atom_site_fract_y
_atom_site_fract_z
Pm1 Pm 0.020 0.039 0.186
Pm2 Pm 0.176 0.348 0.562
Pm3 Pm 0.348 0.696 0.959
Sb1 Sb 0.161 0.325 0.850
Pb1 Pb 0.368 0.736 0.651
```

Values from the calculation:
**ΔE_f (raw)**: -0.34 eV/atom
**Density of states at the Fermi level**: 3.96 states/eV/f.u.

Density functional theory data (GGA-PBE) for crystalline Pm2SbPb at its relaxed geometry.

Structure (CIF):
```
data_Pm2SbPb
_chemical_formula_sum 'Pm6 Sb3 Pb3'
_cell_length_a 4.3702
_cell_length_b 4.3702
_cell_length_c 23.6613
_cell_angle_alpha 90.00
_cell_angle_beta 90.00
_cell_angle_gamma 120.00
_symmetry_space_group_name_H-M 'R -3 m'
_symmetry_Int_Tables_number 166
_symmetry_space_group_name_Hall '-R 3 2"'
loop_
_atom_site_label
_atom_site_type_symbol
_atom_site_fract_x
_atom_site_fract_y
_atom_site_fract_z
Pm1 Pm 0.0000 0.0000 0.2455
Sb1 Sb 0.0000 0.0000 0.5000
Pb1 Pb 0.0000 0.0000 0.0000
```

Values from the calculation:
**ΔE_f (raw)**: -0.81 eV/atom
**Density of states at the Fermi level**: 1.36 states/eV/f.u.
**ΔE to the lowest computed polymorph**: 67 meV per atom

Density functional theory data (GGA-PBE) for crystalline PmSbPb at its relaxed geometry.

Structure (CIF):
```
data_PmSbPb
_chemical_formula_sum 'Pm2 Sb2 Pb2'
_cell_length_a 4.153
_cell_length_b 4.153
_cell_length_c 10.463
_cell_angle_alpha 90.00
_cell_angle_beta 90.00
_cell_angle_gamma 90.00
_symmetry_space_group_name_H-M 'I 4 m m'
_symmetry_Int_Tables_number 107
_symmetry_space_group_name_Hall 'I 4 -2'
loop_
_atom_site_label
_atom_site_type_symbol
_atom_site_fract_x
_atom_site_fract_y
_atom_site_fract_z
Pm1 Pm 0.000 0.000 0.000
Sb1 Sb 0.000 0.000 0.367
Pb1 Pb 0.000 0.000 0.673
```

Values from the calculation:
**ΔE_f (raw)**: -0.48 eV/atom
**Density of states at the Fermi level**: 2.66 states/eV/f.u.
**ΔE to the lowest computed polymorph**: 0 meV per atom

Density functional theory data (GGA-PBE) for crystalline PmSbPb at its relaxed geometry.

Structure (CIF):
```
data_PmSbPb
_chemical_formula_sum 'Pm4 Sb4 Pb4'
_cell_length_a 7.462
_cell_length_b 7.462
_cell_length_c 7.462
_cell_angle_alpha 90.00
_cell_angle_beta 90.00
_cell_angle_gamma 90.00
_symmetry_space_group_name_H-M 'F -4 3 m'
_symmetry_Int_Tables_number 216
_symmetry_space_group_name_Hall 'F -4 2 3'
loop_
_atom_site_label
_atom_site_type_symbol
_atom_site_fract_x
_atom_site_fract_y
_atom_site_fract_z
Pm1 Pm 0.000 0.000 0.000
Sb1 Sb 0.250 0.250 0.750
Pb1 Pb 0.000 0.000 0.500
```

Values from the calculation:
**ΔE_f (raw)**: -0.33 eV/atom
**Density of states at the Fermi level**: 2.44 states/eV/f.u.
**ΔE to the lowest computed polymorph**: 146 meV per atom

Density functional theory data (GGA-PBE) for crystalline PmSbPb2 at its relaxed geometry.

Structure (CIF):
```
data_PmSbPb2
_chemical_formula_sum 'Pm1 Sb1 Pb2'
_cell_length_a 4.679
_cell_length_b 4.679
_cell_length_c 5.367
_cell_angle_alpha 90.00
_cell_angle_beta 90.00
_cell_angle_gamma 90.00
_symmetry_space_group_name_H-M 'P 4/m m m'
_symmetry_Int_Tables_number 123
_symmetry_space_group_name_Hall '-P 4 2'
loop_
_atom_site_label
_atom_site_type_symbol
_atom_site_fract_x
_atom_site_fract_y
_atom_site_fract_z
Pm1 Pm 0.000 0.000 0.000
Sb1 Sb 0.500 0.500 0.000
Pb1 Pb 0.000 0.500 0.500
```

Values from the calculation:
**ΔE_f (raw)**: -0.42 eV/atom
**Density of states at the Fermi level**: 2.32 states/eV/f.u.
**ΔE to the lowest computed polymorph**: 0 meV per atom

Density functional theory data (GGA-PBE) for crystalline Pm6SbPb2Se3 at its relaxed geometry.

Structure (CIF):
```
data_Pm6SbPb2Se3
_chemical_formula_sum 'Pm12 Sb2 Pb4 Se6'
_cell_length_a 19.043
_cell_length_b 4.382
_cell_length_c 8.745
_cell_angle_alpha 90.00
_cell_angle_beta 102.92
_cell_angle_gamma 90.00
_symmetry_space_group_name_H-M 'C 1 2/m 1'
_symmetry_Int_Tables_number 12
loop_
_symmetry_equiv_pos_as_xyz
'x,y,z'
'-x,-y,-z'
'-x,y,-z'
'x,-y,z'
'x+1/2,y+1/2,z'
'-x+1/2,-y+1/2,-z'
'-x+1/2,y+1/2,-z'
'x+1/2,-y+1/2,z'
loop_
_atom_site_label
_atom_site_type_symbol
_atom_site_fract_x
_atom_site_fract_y
_atom_site_fract_z
Pm1 Pm 0.002 0.000 0.245
Pm2 Pm 0.164 0.500 0.090
Pm3 Pm 0.169 0.500 0.577
Sb1 Sb 0.000 0.500 0.500
Pb1 Pb 0.167 0.000 0.833
Se1 Se 0.000 0.500 0.000
Se2 Se 0.166 0.000 0.333
```

Values from the calculation:
**ΔE_f (raw)**: -1.29 eV/atom
**Density of states at the Fermi level**: 3.04 states/eV/f.u.

Computed values of magnetic moment (unit: Bohr magnetons per cell) for the preceding records, in sequence: 0.84, 0.00, 0.00, 0.00, 0.00, 0.00.